{
  "formula": "BeNbTc",
  "functional": "PBE",
  "state": "relaxed",
  "energy_ev_per_atom": -7.193,
  "lattice_angstrom": [[0.000, 2.962, 2.962], [2.962, 0.000, 2.962], [2.962, 2.962, 0.000]],
  "species": ["Be", "Nb", "Tc"],
  "fractional_positions": [[0.000, 0.000, 0.000], [0.250, 0.250, 0.250], [0.500, 0.500, 0.500]]
}